Density functional theory data (PBE with a Hubbard U) for a relaxed Li2Ti3MnO8 crystal.

- space-group type = No. 167
- magnetic moment (μB/f.u.) = 5.00
- calculated volume (Å³/f.u.) = 158.5
- crystal system = trigonal
- E_tot (Ry/atom) = -0.587

The structure in POSCAR format:
```
Li2Ti3MnO8
1.0
2.992 1.727 10.224
-2.992 1.727 10.224
0.000 -3.454 10.224
Li Ti Mn O
4 6 2 16
direct
0.189 0.189 0.189
0.311 0.311 0.311
0.689 0.689 0.689
0.811 0.811 0.811
0.210 0.750 0.290
0.250 0.710 0.790
0.290 0.210 0.750
0.710 0.790 0.250
0.750 0.290 0.210
0.790 0.250 0.710
0.000 0.000 0.000
0.500 0.500 0.500
0.106 0.642 0.109
0.109 0.106 0.642
0.117 0.117 0.117
0.142 0.606 0.609
0.358 0.891 0.894
0.383 0.383 0.383
0.391 0.858 0.394
0.394 0.391 0.858
0.606 0.609 0.142
0.609 0.142 0.606
0.617 0.617 0.617
0.642 0.109 0.106
0.858 0.394 0.391
0.883 0.883 0.883
0.891 0.894 0.358
0.894 0.358 0.891
```